This record from the Alexandria database describes a relaxed Cd3Ga9Ag2 crystal. The functional is GGA-PBE.

Geometry as POSCAR:
```
Cd3Ga9Ag2
1.0
-1.969 2.767 2.636
-4.796 -4.790 4.950
5.606 1.567 6.047
Cd Ga Ag
3 9 2
direct
0.721 0.279 0.279
0.279 0.721 0.721
0.000 0.000 0.000
0.374 0.995 0.257
0.626 0.005 0.743
0.374 0.257 0.995
0.146 0.573 0.135
0.000 0.500 0.500
0.626 0.743 0.005
0.854 0.427 0.865
0.854 0.865 0.427
0.146 0.135 0.573
0.500 0.647 0.353
0.500 0.353 0.647
```

Properties
Formation energy from the elements: 0.055 eV per atom
Uncorrected energy: -34.9 eV for the cell shown